DFT (PBE) results for an optimized crystal structure of La3YTh2Sb6.

```
La3YTh2Sb6
1.0
3.9284 -6.8120 0.0000
3.9284 6.8120 0.0000
-2.6220 0.0000 7.4441
La Y Th Sb
3 1 2 6
Direct
0.0000 0.0000 0.0000 La
0.3321 0.6679 0.0000 La
0.6679 0.3321 0.0000 La
0.5000 0.5000 0.5000 Y
0.1662 0.8338 0.5000 Th
0.8338 0.1662 0.5000 Th
0.0901 0.4200 0.2595 Sb
0.2511 0.2511 0.7424 Sb
0.4200 0.0901 0.2595 Sb
0.5800 0.9099 0.7405 Sb
0.7489 0.7489 0.2576 Sb
0.9099 0.5800 0.7405 Sb
```

Properties
Formation energy from raw total energies in meV per atom: -1155
E_tot in eV/f.u.: -74.68

---

DFT (PBE) results for an optimized crystal structure of La2YTh3Sb6.

```
La2YTh3Sb6
1.0
9.8707 -2.2631 0.0000
9.8707 2.2631 0.0000
-2.1003 0.0000 8.7996
La Y Th Sb
2 1 3 6
Direct
0.1656 0.1656 0.3318 La
0.8344 0.8344 0.6682 La
0.5000 0.5000 0.0000 Y
0.1686 0.1686 0.8345 Th
0.5000 0.5000 0.5000 Th
0.8314 0.8314 0.1655 Th
0.0026 0.0026 0.7557 Sb
0.3346 0.3346 0.4136 Sb
0.3362 0.3362 0.9222 Sb
0.6638 0.6638 0.0778 Sb
0.6654 0.6654 0.5864 Sb
0.9974 0.9974 0.2443 Sb
```

Properties
Formation energy from raw total energies in meV per atom: -1080
E_tot in eV/f.u.: -76.28

---

DFT (PBE) results for an optimized crystal structure of LaTi3Sb.

```
LaTi3Sb
1.0
5.1210 0.0000 0.0000
0.0000 5.1210 0.0000
0.0000 0.0000 5.1210
La Ti Sb
1 3 1
Direct
0.0000 0.0000 0.0000 La
0.0000 0.5000 0.5000 Ti
0.5000 0.0000 0.5000 Ti
0.5000 0.5000 0.0000 Ti
0.5000 0.5000 0.5000 Sb
```

Properties
Formation energy from raw total energies in meV per atom: 523
E_tot in eV/f.u.: -30.12
Energy relative to the lowest polymorph listed for this composition in kJ/mol of formula units: 0

---

Number 3 is which compound? LaTi3Sb

---

Look up the formation energy from raw total energies of the third one. 523 meV per atom

---

Which of these has the lowest formation energy from raw total energies? La3YTh2Sb6

---

Repeat the second record exactly.
DFT (PBE) results for an optimized crystal structure of La2YTh3Sb6.

```
La2YTh3Sb6
1.0
9.8707 -2.2631 0.0000
9.8707 2.2631 0.0000
-2.1003 0.0000 8.7996
La Y Th Sb
2 1 3 6
Direct
0.1656 0.1656 0.3318 La
0.8344 0.8344 0.6682 La
0.5000 0.5000 0.0000 Y
0.1686 0.1686 0.8345 Th
0.5000 0.5000 0.5000 Th
0.8314 0.8314 0.1655 Th
0.0026 0.0026 0.7557 Sb
0.3346 0.3346 0.4136 Sb
0.3362 0.3362 0.9222 Sb
0.6638 0.6638 0.0778 Sb
0.6654 0.6654 0.5864 Sb
0.9974 0.9974 0.2443 Sb
```

Properties
Formation energy from raw total energies in meV per atom: -1080
E_tot in eV/f.u.: -76.28